Below is Li6HgP2 after structural relaxation, with properties calculated at the GGA-PBE level.

Lattice parameters (Å, degrees): 7.3469 7.3469 2.8009 90.00 90.00 120.00
Space group P6/mmm (No. 191)
Inequivalent atoms, fractional coordinates:
Li 0.0000 0.3463 0.0000 x6
Hg 0.0000 0.0000 0.5000 x1
P 0.3333 0.6667 0.5000 x2

Summary:
V (A^3/atom): 14.55
Calculated formation energy (meV/atom): -392

---

Below is KMnTe2 after structural relaxation, with properties calculated at the GGA-PBE level.

Lattice parameters (Å, degrees): 4.1390 4.1390 24.7816 90.00 90.00 120.00
Space group R3m (No. 160, hexagonal axes)
Inequivalent atoms, fractional coordinates:
K 0.0000 0.0000 0.0000 x3
Mn 0.0000 0.0000 0.1666 x3
Te 0.0000 0.0000 0.5606 x3
Te 0.0000 0.0000 0.7721 x3

Summary:
V (A^3/atom): 30.64
Formation energy (no corrections) (eV per atom): -0.489

---

Below is CoTeAu2 after structural relaxation, with properties calculated at the GGA-PBE level.

Lattice parameters (Å, degrees): 3.043 4.359 11.977 90.00 90.00 90.00
Space group Imm2 (No. 44)
Inequivalent atoms, fractional coordinates:
Co 0.000 0.000 0.000 x2
Te 0.000 0.500 0.333 x2
Au 0.000 0.000 0.532 x2
Au 0.000 0.500 0.687 x2

Summary:
V (A^3/atom): 19.86
Formation energy (no corrections) (eV per atom): 0.212

---

Below is MgCd2Fe after structural relaxation, with properties calculated at the GGA-PBE level.

Lattice parameters (Å, degrees): 5.934 8.266 2.976 90.00 90.38 90.00
Space group C2/m (No. 12)
Inequivalent atoms, fractional coordinates:
Mg 0.000 0.000 0.000 x2
Cd 0.250 0.250 0.500 x4
Fe 0.000 0.500 0.000 x2

Summary:
V (A^3/atom): 18.25
Calculated formation energy (meV/atom): 194

---

no.,magnetic moment (μB per atom),D(E_F) (states/eV per cell),electronic total energy (eV per atom)
1,0.0000,1.3,-2.904
2,0.9999,7.2,-4.627
3,0.3154,6.5,-3.989
4,0.6032,4.8,-2.778